(1)
Computed, not measured: crystalline GdHfSe2 at its relaxed geometry at the PBE level of DFT.

Computed properties:
Energy relative to the elements, uncorrected ... -1015 meV/atom

Lattice parameters (Å, degrees): 3.734 3.734 9.267 78.38 78.38 60.00
Fractional coordinates of all 4 atoms:
Hf 0.500 0.500 0.500
Se 0.893 0.893 0.320
Se 0.107 0.107 0.680
Gd 0.000 0.000 0.000

---

(2)
Computed, not measured: crystalline Tm2InAg3 at its relaxed geometry at the PBE level of DFT.

Computed properties:
Energy above the most stable polymorph in this dataset ... 0.0 meV per atom
ΔE_f ... -30.6 kJ/mol of atoms

Lattice parameters (Å, degrees): 4.953 4.953 12.320 90.00 90.00 120.00
Fractional coordinates of all 12 atoms:
Ag 0.333 0.667 0.421
Ag 0.000 0.000 0.249
Ag 0.667 0.333 0.579
Ag 0.667 0.333 0.082
Ag 0.333 0.667 0.918
Ag 0.000 0.000 0.751
Tm 0.333 0.667 0.177
Tm 0.000 0.000 0.500
Tm 0.000 0.000 0.000
Tm 0.667 0.333 0.823
In 0.667 0.333 0.337
In 0.333 0.667 0.663

---

(3)
Computed, not measured: crystalline Sm3YHg4 at its relaxed geometry at the PBE level of DFT.

Computed properties:
ΔE_f ... -46.3 kJ/mol of atoms

Lattice parameters (Å, degrees): 5.345 5.345 9.264 73.23 73.23 60.00
Fractional coordinates of all 8 atoms:
Hg 0.626 0.626 0.122
Hg 0.124 0.124 0.628
Hg 0.374 0.374 0.878
Hg 0.876 0.876 0.372
Sm 0.750 0.750 0.751
Sm 0.250 0.250 0.249
Sm 0.500 0.500 0.500
Y 0.000 0.000 0.000